i) VASP calculation (PBE) on an optimized crystal structure of Y2OsF.

The structure belongs to space group I-42d (No. 122); the cell edges are 5.699, 5.699 and 11.975 Å and the angles 90.00°, 90.00° and 90.00°. Symmetry generates all atoms from Y at (0.210, 0.250, 0.125), Os at (0.000, 0.000, 0.500) and F at (0.000, 0.000, 0.000).

For the density, the calculation gives 6610 kg/m³.

ii) VASP calculation (PBE) on an optimized crystal structure of Y2OsF.

The structure belongs to space group Fm-3m (No. 225); the cell edges are 6.776, 6.776 and 6.776 Å and the angles 90.00°, 90.00° and 90.00°. Symmetry generates all atoms from Y at (0.250, 0.250, 0.250), Os at (0.000, 0.000, 0.000) and F at (0.000, 0.000, 0.500).

For the density, the calculation gives 8265 kg/m³.

In terms of stability, ii) leads; the second structure lies 25 meV/atom higher.

i) VASP calculation (PBE) on an optimized crystal structure of YOsF3.

The structure belongs to space group Pm-3m (No. 221); the cell edges are 4.490, 4.490 and 4.490 Å and the angles 90.00°, 90.00° and 90.00°. Symmetry generates all atoms from Y at (0.000, 0.000, 0.000), Os at (0.500, 0.500, 0.500) and F at (0.000, 0.000, 0.500).

For the density, the calculation gives 6168 kg/m³.

ii) VASP calculation (PBE) on an optimized crystal structure of YOsF3.

The structure belongs to space group Pm-3m (No. 221); the cell edges are 4.316, 4.316 and 4.316 Å and the angles 90.00°, 90.00° and 90.00°. Symmetry generates all atoms from Y at (0.000, 0.000, 0.000), Os at (0.500, 0.500, 0.500) and F at (0.000, 0.500, 0.500).

For the density, the calculation gives 6941 kg/m³.

In terms of stability, i) leads; the second structure lies 831 meV/atom higher.

i) VASP calculation (PBE) on an optimized crystal structure of Zn2OsF2.

The structure belongs to space group I4/mmm (No. 139); the cell edges are 4.618, 4.618 and 6.513 Å and the angles 90.00°, 90.00° and 90.00°. Symmetry generates all atoms from Zn at (0.000, 0.500, 0.250), Os at (0.000, 0.000, 0.000) and F at (0.000, 0.000, 0.322).

For the density, the calculation gives 8585 kg/m³.

ii) VASP calculation (PBE) on an optimized crystal structure of Zn2OsF2.

The structure belongs to space group P4/mbm (No. 127); the cell edges are 7.127, 7.127 and 2.591 Å and the angles 90.00°, 90.00° and 90.00°. Symmetry generates all atoms from Zn at (0.215, 0.285, 0.000), Os at (0.000, 0.000, 0.500) and F at (0.119, 0.619, 0.500).

For the density, the calculation gives 9061 kg/m³.

In terms of stability, ii) leads; the second structure lies 224 meV/atom higher.

i) VASP calculation (PBE) on an optimized crystal structure of ZnOs2F.

The structure belongs to space group Fm-3m (No. 225); the cell edges are 6.003, 6.003 and 6.003 Å and the angles 90.00°, 90.00° and 90.00°. Symmetry generates all atoms from Zn at (0.000, 0.000, 0.000), Os at (0.250, 0.250, 0.250) and F at (0.000, 0.000, 0.500).

For the density, the calculation gives 14273 kg/m³.

ii) VASP calculation (PBE) on an optimized crystal structure of ZnOs2F.

The structure belongs to space group I-42d (No. 122); the cell edges are 7.254, 7.254 and 4.495 Å and the angles 90.00°, 90.00° and 90.00°. Symmetry generates all atoms from Zn at (0.000, 0.000, 0.000), Os at (0.186, 0.250, 0.625) and F at (0.000, 0.000, 0.500).

For the density, the calculation gives 13055 kg/m³.

In terms of stability, ii) leads; the second structure lies 121 meV/atom higher.

i) VASP calculation (PBE) on an optimized crystal structure of Zn3OsF.

The structure belongs to space group Pm-3m (No. 221); the cell edges are 4.859, 4.859 and 4.859 Å and the angles 90.00°, 90.00° and 90.00°. Symmetry generates all atoms from Zn at (0.000, 0.000, 0.500), Os at (0.000, 0.000, 0.000) and F at (0.500, 0.500, 0.500).

For the density, the calculation gives 5869 kg/m³.

ii) VASP calculation (PBE) on an optimized crystal structure of Zn3OsF.

The structure belongs to space group Pm-3m (No. 221); the cell edges are 4.139, 4.139 and 4.139 Å and the angles 90.00°, 90.00° and 90.00°. Symmetry generates all atoms from Zn at (0.000, 0.000, 0.500), Os at (0.500, 0.500, 0.500) and F at (0.000, 0.000, 0.000).

For the density, the calculation gives 9492 kg/m³.

In terms of stability, ii) leads; the second structure lies 411 meV/atom higher.

i) VASP calculation (PBE) on an optimized crystal structure of ZrOsF3.

The structure belongs to space group Pm-3m (No. 221); the cell edges are 4.264, 4.264 and 4.264 Å and the angles 90.00°, 90.00° and 90.00°. Symmetry generates all atoms from Zr at (0.000, 0.000, 0.000), Os at (0.500, 0.500, 0.500) and F at (0.000, 0.500, 0.500).

For the density, the calculation gives 7247 kg/m³.

ii) VASP calculation (PBE) on an optimized crystal structure of ZrOsF3.

The structure belongs to space group Pm-3m (No. 221); the cell edges are 4.327, 4.327 and 4.327 Å and the angles 90.00°, 90.00° and 90.00°. Symmetry generates all atoms from Zr at (0.000, 0.000, 0.000), Os at (0.500, 0.500, 0.500) and F at (0.000, 0.000, 0.500).

For the density, the calculation gives 6938 kg/m³.

In terms of stability, ii) leads; the second structure lies 809 meV/atom higher.

i) VASP calculation (PBE) on an optimized crystal structure of Zr2OsF.

The structure belongs to space group I-42d (No. 122); the cell edges are 5.466, 5.466 and 11.341 Å and the angles 90.00°, 90.00° and 90.00°. Symmetry generates all atoms from Zr at (0.202, 0.250, 0.125), Os at (0.000, 0.000, 0.500) and F at (0.000, 0.000, 0.000).

For the density, the calculation gives 7677 kg/m³.

ii) VASP calculation (PBE) on an optimized crystal structure of Zr2OsF.

The structure belongs to space group Fm-3m (No. 225); the cell edges are 6.508, 6.508 and 6.508 Å and the angles 90.00°, 90.00° and 90.00°. Symmetry generates all atoms from Zr at (0.250, 0.250, 0.250), Os at (0.000, 0.000, 0.000) and F at (0.000, 0.000, 0.500).

For the density, the calculation gives 9439 kg/m³.

In terms of stability, ii) leads; the second structure lies 175 meV/atom higher.

i) VASP calculation (PBE) on an optimized crystal structure of PF.

The structure belongs to space group P1 (No. 1); the cell edges are 3.266, 5.023 and 5.609 Å and the angles 78.19°, 89.94° and 71.13°. Symmetry generates all atoms from P at (0.000, 0.000, 0.000), P at (0.444, 0.114, 0.734), F at (0.173, 0.651, 0.103) and F at (0.557, 0.886, 0.553).

For the density, the calculation gives 1952 kg/m³.

ii) VASP calculation (PBE) on an optimized crystal structure of PF.

The structure belongs to space group I4/m (No. 87); the cell edges are 11.081, 11.081 and 2.363 Å and the angles 90.00°, 90.00° and 90.00°. Symmetry generates all atoms from P at (0.013, 0.318, 0.000) and F at (0.077, 0.798, 0.000).

For the density, the calculation gives 2288 kg/m³.

iii) VASP calculation (PBE) on an optimized crystal structure of PF.

The structure belongs to space group P6_3/m (No. 176); the cell edges are 9.8671, 9.8671 and 2.4484 Å and the angles 90.00°, 90.00° and 120.00°. Symmetry generates all atoms from P at (0.1406, 0.3115, 0.2500) and F at (0.1440, 0.4779, 0.2500).

For the density, the calculation gives 2412 kg/m³.

In terms of stability, i) leads; the second structure lies 368 meV/atom higher.